1.
Here is a relaxed CsRb2NpF8 crystal from Alexandria. Energies are from PBE-GGA.

Unit cell a=6.284 b=6.284 c=7.744 alpha=113.94 beta=113.94 gamma=90.00
Atoms (fractional coordinates):
Cs: 0.500 0.500 0.000
Rb: 0.750 0.250 0.500
Rb: 0.000 0.000 0.000
Np: 0.250 0.750 0.500
F: 0.145 0.650 0.701
F: 0.556 0.650 0.701
F: 0.350 0.444 0.299
F: 0.948 0.855 0.299
F: 0.556 0.052 0.701
F: 0.350 0.855 0.299
F: 0.145 0.052 0.701
F: 0.948 0.444 0.299

Output
raw formation energy: -3.098 eV/atom

=====

2.
Here is a relaxed CuP3H crystal from Alexandria. Energies are from PBE-GGA.

Unit cell a=4.475 b=4.475 c=4.475 alpha=90.00 beta=90.00 gamma=90.00
Atoms (fractional coordinates):
P: 0.000 0.500 0.000
P: 0.000 0.000 0.500
P: 0.500 0.000 0.000
Cu: 0.000 0.000 0.000
H: 0.500 0.500 0.500

Output
excess energy over the best structure of this formula in the dataset: 0.546 eV/atom

=====

3.
Here is a relaxed Ru2PtW2 crystal from Alexandria. Energies are from PBE-GGA.

Unit cell a=2.831 b=7.504 c=7.504 alpha=90.00 beta=90.00 gamma=90.00
Atoms (fractional coordinates):
Ru: 0.500 0.161 0.661
Ru: 0.500 0.661 0.839
Ru: 0.500 0.839 0.339
Ru: 0.500 0.339 0.161
Pt: 0.000 0.000 0.000
Pt: 0.000 0.500 0.500
W: 0.000 0.634 0.134
W: 0.000 0.134 0.366
W: 0.000 0.366 0.866
W: 0.000 0.866 0.634

Output
excess energy over the best structure of this formula in the dataset: 0.131 eV/atom
ΔH_f (0 K): 0.200 eV/atom

=====

no.,E_tot (eV for the cell shown),calculated volume (Å³/cell),total magnetization (μB per cell)
1,-67.880,250,2.00
2,-16.772,90,0.00
3,-98.999,159,0.00